No. 1
Compound: ZrSn3I
Source: the Alexandria database
Functional: PBE
Structure: relaxed Values from VASP.

The structure in Quantum ESPRESSO input format:
```
&SYSTEM
  ibrav = 0, nat = 5, ntyp = 3
/
ATOMIC_SPECIES
Zr 91.22 Zr.upf
Sn 118.71 Sn.upf
I 126.90 I.upf
CELL_PARAMETERS angstrom
5.686 0.000 0.000
0.000 5.686 0.000
0.000 0.000 5.686
ATOMIC_POSITIONS angstrom
Zr 0.000 0.000 0.000
Sn 0.000 0.000 2.843
Sn 0.000 2.843 0.000
Sn 2.843 0.000 0.000
I 2.843 2.843 2.843
```

density of states at the Fermi level = 2.771 states/eV/atom
formation energy without anion corrections = 280 meV per atom
crystal system = cubic

No. 2
Compound: Zr2Sn2I
Source: the Alexandria database
Functional: PBE
Structure: relaxed Values from VASP.

The structure in Quantum ESPRESSO input format:
```
&SYSTEM
  ibrav = 0, nat = 10, ntyp = 3
/
ATOMIC_SPECIES
Zr 91.22 Zr.upf
Sn 118.71 Sn.upf
I 126.90 I.upf
CELL_PARAMETERS angstrom
8.145 0.000 0.000
0.000 8.145 0.000
0.000 0.000 3.799
ATOMIC_POSITIONS angstrom
Zr 1.340 2.733 0.000
Zr 2.733 6.805 0.000
Zr 5.412 1.340 0.000
Zr 6.805 5.412 0.000
Sn 1.061 5.133 1.900
Sn 3.012 1.061 1.900
Sn 5.133 7.084 1.900
Sn 7.084 3.012 1.900
I 0.000 0.000 0.000
I 4.072 4.072 0.000
```

density of states at the Fermi level = 0.660 states/eV/atom
formation energy without anion corrections = -297 meV per atom
crystal system = tetragonal

No. 3
Compound: ZrSn2I8
Source: the Alexandria database
Functional: PBE
Structure: relaxed Values from VASP.

The structure in Quantum ESPRESSO input format:
```
&SYSTEM
  ibrav = 0, nat = 11, ntyp = 3
/
ATOMIC_SPECIES
Zr 91.22 Zr.upf
Sn 118.71 Sn.upf
I 126.90 I.upf
CELL_PARAMETERS angstrom
7.483 -4.103 0.000
7.483 4.103 0.000
-0.049 0.000 8.227
ATOMIC_POSITIONS angstrom
Zr 0.000 0.000 0.000
Sn 1.884 0.000 4.076
Sn 13.035 0.000 4.151
I 2.652 0.000 7.240
I 6.705 2.083 6.289
I 8.213 2.083 1.938
I 4.553 0.000 3.165
I 10.365 0.000 5.063
I 6.705 -2.083 6.289
I 8.213 -2.083 1.938
I 12.267 0.000 0.987
```

formation energy without anion corrections = -633 meV per atom
crystal system = monoclinic

No. 4
Compound: ZrSnI3
Source: the Alexandria database
Functional: PBE
Structure: relaxed Values from VASP.

The structure in Quantum ESPRESSO input format:
```
&SYSTEM
  ibrav = 0, nat = 5, ntyp = 3
/
ATOMIC_SPECIES
Zr 91.22 Zr.upf
Sn 118.71 Sn.upf
I 126.90 I.upf
CELL_PARAMETERS angstrom
6.046 0.000 0.000
0.000 6.046 0.000
0.000 0.000 6.046
ATOMIC_POSITIONS angstrom
Zr 0.000 0.000 0.000
Sn 3.023 3.023 3.023
I 0.000 3.023 3.023
I 3.023 0.000 3.023
I 3.023 3.023 0.000
```

density of states at the Fermi level = 2.798 states/eV/atom
formation energy without anion corrections = 516 meV per atom
crystal system = cubic